(1)
# MoC2

An optimized crystal structure of MoC2 (PBE-GGA, the Alexandria database).

Lattice parameters (Å, degrees): 5.043 5.043 5.043 90.00 90.00 90.00
Space group Fm-3m (No. 225)
Asymmetric unit:
1 Mo 0.000 0.000 0.000 x4
2 C 0.250 0.250 0.250 x8

(2)
# BaMgGaAg

An optimized crystal structure of BaMgGaAg (PBE-GGA, the Alexandria database).

Lattice parameters (Å, degrees): 4.7661 4.7661 17.6630 90.00 90.00 120.00
Space group R3m (No. 160, hexagonal axes)
Asymmetric unit:
1 Ba 0.0000 0.0000 0.0000 x3
2 Mg 0.0000 0.0000 0.5019 x3
3 Ga 0.0000 0.0000 0.7994 x3
4 Ag 0.0000 0.0000 0.1911 x3

(3)
# MgBe

An optimized crystal structure of MgBe (PBE-GGA, the Alexandria database).

Lattice parameters (Å, degrees): 8.660 8.660 3.671 90.00 90.00 90.00
Space group I4/m (No. 87)
Asymmetric unit:
1 Mg 0.127 0.207 0.000 x8
2 Be 0.067 0.409 0.500 x8

(4)
# TmThCd5

An optimized crystal structure of TmThCd5 (PBE-GGA, the Alexandria database).

Lattice parameters (Å, degrees): 5.145 5.145 7.032 90.00 90.00 90.00
Space group P4/mmm (No. 123)
Asymmetric unit:
1 Tm 0.000 0.000 0.000 x1
2 Th 0.500 0.500 0.500 x1
3 Cd 0.000 0.000 0.500 x1
4 Cd 0.000 0.500 0.224 x4

(5)
# La4Tb2DyEr2

An optimized crystal structure of La4Tb2DyEr2 (PBE-GGA, the Alexandria database).

Lattice parameters (Å, degrees): 18.849 3.640 8.888 90.00 90.12 90.00
Space group C2/m (No. 12)
Asymmetric unit:
1 La 0.056 0.000 0.172 x4
2 La 0.223 0.500 0.173 x4
3 Tb 0.111 0.500 0.828 x4
4 Dy 0.000 0.500 0.500 x2
5 Er 0.166 0.000 0.502 x4

(6)
# KSc3Ti

An optimized crystal structure of KSc3Ti (PBE-GGA, the Alexandria database).

Lattice parameters (Å, degrees): 4.905 4.905 4.905 90.00 90.00 90.00
Space group Pm-3m (No. 221)
Asymmetric unit:
1 K 0.000 0.000 0.000 x1
2 Sc 0.000 0.000 0.500 x3
3 Ti 0.500 0.500 0.500 x1

(7)
# Ti7NbTl2

An optimized crystal structure of Ti7NbTl2 (PBE-GGA, the Alexandria database).

Lattice parameters (Å, degrees): 9.506 9.506 9.506 90.00 90.00 90.00
Space group Fm-3m (No. 225)
Asymmetric unit:
1 Ti 0.000 0.000 0.000 x4
2 Ti 0.000 0.000 0.246 x24
3 Nb 0.000 0.000 0.500 x4
4 Tl 0.250 0.250 0.250 x8

(8)
# ZrGaCoRh

An optimized crystal structure of ZrGaCoRh (PBE-GGA, the Alexandria database).

Lattice parameters (Å, degrees): 6.230 6.230 6.230 90.00 90.00 90.00
Space group F-43m (No. 216)
Asymmetric unit:
1 Zr 0.000 0.000 0.000 x4
2 Ga 0.000 0.000 0.500 x4
3 Co 0.250 0.250 0.250 x4
4 Rh 0.250 0.250 0.750 x4

Computed raw total energy, in the same sequence as the records: -96.1; -31.4; -37.3; -16.4; -84.9; -20.8; -247.1; -113.9 eV per cell.
Computed formation energy from the elements, in the same sequence as the records: 1.754; -0.267; 0.332; 0.005; 0.029; 1.444; 0.828; -0.611 eV/atom.
Computed Fermi-level density of states, in the same sequence as the records: 8.03; 6.41; 5.82; 3.24; 30.99; 4.31; 66.72; 8.03 states/eV/cell.